DFT (GGA-PBE) results for a relaxed structure of Zr2AlSi.

Cell and atoms, written as POSCAR:
```
Zr2AlSi
1.0
3.849 0.000 0.000
0.000 3.849 0.000
0.000 0.000 20.401
Zr Al Si
8 4 4
Direct
0.500 0.500 0.696
0.000 0.500 0.551
0.500 0.000 0.051
0.000 0.000 0.804
0.500 0.000 0.449
0.000 0.000 0.196
0.500 0.500 0.304
0.000 0.500 0.949
0.000 0.000 0.664
0.500 0.500 0.164
0.500 0.500 0.836
0.000 0.000 0.336
0.000 0.500 0.414
0.500 0.000 0.586
0.500 0.000 0.914
0.000 0.500 0.086
```

Properties
Symmetry = No. 119
Crystal system = tetragonal
Energy above the most stable polymorph in this dataset = 0.006 eV per atom
Formation energy from raw total energies = -728.7 meV/atom


DFT (GGA-PBE) results for a relaxed structure of K4Na3Tl2.

Cell and atoms, written as POSCAR:
```
K4Na3Tl2
1.0
-0.199 -4.540 2.791
8.688 0.260 1.042
-3.524 6.899 5.877
K Tl Na
4 2 3
Direct
0.413 0.130 0.826
0.772 0.328 0.544
0.587 0.870 0.174
0.228 0.672 0.456
0.591 0.444 0.181
0.409 0.556 0.819
0.095 0.219 0.191
0.905 0.781 0.809
0.000 0.500 0.000
```

Properties
Symmetry = No. 12
Formation energy = -0.047 eV per atom
Crystal system = monoclinic


DFT (GGA-PBE) results for a relaxed structure of Ta3H4.

Cell and atoms, written as POSCAR:
```
Ta3H4
1.0
3.198 0.000 0.000
0.000 4.552 0.129
-1.599 -1.984 4.387
H Ta
4 3
Direct
0.643 0.088 0.287
0.357 0.912 0.713
0.836 0.569 0.672
0.164 0.431 0.328
0.655 0.680 0.311
0.345 0.320 0.689
0.000 0.000 0.000
```

Properties
Symmetry = No. 12
Crystal system = monoclinic
Energy above the most stable polymorph in this dataset = 0.000 eV per atom


DFT (GGA-PBE) results for a relaxed structure of BiAsAu.

Cell and atoms, written as POSCAR:
```
BiAsAu
1.0
-3.784 5.230 -1.693
-5.127 -4.099 -1.204
-1.983 0.618 6.342
Au As Bi
4 4 4
Direct
0.976 0.524 0.476
0.524 0.476 0.976
0.476 0.976 0.524
0.024 0.024 0.024
0.615 0.615 0.615
0.385 0.115 0.885
0.885 0.385 0.115
0.115 0.885 0.385
0.629 0.871 0.129
0.871 0.129 0.629
0.371 0.371 0.371
0.129 0.629 0.871
```

Properties
Symmetry = No. 198
Formation energy = -0.004 eV per atom
Crystal system = cubic
Energy above the most stable polymorph in this dataset = 0.000 eV per atom


DFT (GGA-PBE) results for a relaxed structure of Ba3CdBi2O8.

Cell and atoms, written as POSCAR:
```
Ba3CdBi2O8
1.0
6.265 0.000 0.000
-3.132 5.426 0.000
0.000 0.000 8.035
Bi Cd Ba O
2 1 3 8
Direct
0.333 0.667 0.194
0.667 0.333 0.806
0.000 0.000 0.500
0.667 0.333 0.371
0.000 0.000 0.000
0.333 0.667 0.629
0.161 0.839 0.319
0.333 0.667 0.931
0.677 0.839 0.319
0.839 0.161 0.681
0.839 0.677 0.681
0.323 0.161 0.681
0.161 0.323 0.319
0.667 0.333 0.069
```

Properties
Symmetry = No. 164
Crystal system = trigonal
Formation energy from raw total energies = -1613.4 meV/atom


DFT (GGA-PBE) results for a relaxed structure of ZnIr2Pt.

Cell and atoms, written as POSCAR:
```
ZnIr2Pt
1.0
4.770 0.000 0.011
3.974 2.638 0.011
0.860 0.259 4.655
Zn Ir Pt
1 2 1
Direct
0.750 0.750 0.750
0.005 0.005 0.997
0.495 0.495 0.503
0.250 0.250 0.250
```

Properties
Symmetry = No. 12
Formation energy = -0.114 eV per atom
Crystal system = monoclinic